First-principles (PBE-GGA) data for a relaxed PmEr3Pd4 crystal, as listed in Alexandria via LeMat-Bulk.

abc: 5.0062 6.8869 10.0157
angles: 90.00 90.00 90.00
Positions (direct):
1 Er 0.0000 0.0000 0.0000
2 Er 0.0000 0.0000 0.5000
3 Er 0.4990 0.0000 0.7500
4 Er 0.5010 0.0000 0.2500
5 Er 0.4992 0.5000 0.7500
6 Er 0.5008 0.5000 0.2500
7 Pd 0.5000 0.7589 0.0000
8 Pd 0.5000 0.7589 0.5000
9 Pd 0.5000 0.2411 0.0000
10 Pd 0.5000 0.2411 0.5000
11 Pd 0.9983 0.7586 0.7500
12 Pd 0.0017 0.7586 0.2500
13 Pd 0.0017 0.2414 0.2500
14 Pd 0.9983 0.2414 0.7500
15 Pm 0.0000 0.5000 0.0000
16 Pm 0.0000 0.5000 0.5000

Total magnetization (μB/atom): 0.000
E (eV per formula unit): -46.2
Calculated formation energy (kJ per mole of atoms): -84.8
V (Å³/atom): 21.58